# AlFe2OsPb

A geometry-optimized AlFe2OsPb structure (PBE, Alexandria).

Its density of states at the Fermi level is 1.62 states/eV/atom. As for the raw total energy: -5.63 eV per atom. The magnetization is 0.0337 μB/atom. The value obtained for the formation energy from the elements is 1.4873 eV per atom.

The space group is P4/mmm (No. 123) and the conventional cell measures 4.5339, 4.5339 and 5.1927 Å, with angles of 90.00, 90.00 and 90.00 degrees. The distinct sites, in fractional coordinates, are Al at (0.0000, 0.0000, 0.0000), Fe at (0.0000, 0.5000, 0.5000), Os at (0.5000, 0.5000, 0.5000) and Pb at (0.5000, 0.5000, 0.0000).

=====

# PuAlFeOs

A geometry-optimized PuAlFeOs structure (PBE, Alexandria).

Its density of states at the Fermi level is 1.14 states/eV/atom. As for the raw total energy: -9.60 eV per atom. The magnetization is 0.6931 μB/atom. The value obtained for the formation energy from the elements is -0.1592 eV per atom.

The space group is F-43m (No. 216) and the conventional cell measures 6.3598, 6.3598 and 6.3598 Å, with angles of 90.00, 90.00 and 90.00 degrees. The distinct sites, in fractional coordinates, are Pu at (0.0000, 0.0000, 0.0000), Al at (0.0000, 0.0000, 0.5000), Fe at (0.2500, 0.2500, 0.7500) and Os at (0.2500, 0.2500, 0.2500).

=====

# Al2FeOsS

A geometry-optimized Al2FeOsS structure (PBE, Alexandria).

Its density of states at the Fermi level is 0.99 states/eV/atom. As for the raw total energy: -5.28 eV per atom. The magnetization is 0.5863 μB/atom. The raw formation energy is 0.977 eV per atom.

The space group is P4/mmm (No. 123) and the conventional cell measures 4.5419, 4.5419 and 4.2664 Å, with angles of 90.00, 90.00 and 90.00 degrees. The distinct sites, in fractional coordinates, are Al at (0.0000, 0.5000, 0.0000), Fe at (0.0000, 0.0000, 0.5000), Os at (0.5000, 0.5000, 0.5000) and S at (0.5000, 0.5000, 0.0000).

=====

# AlFe2OsS

A geometry-optimized AlFe2OsS structure (PBE, Alexandria).

Its density of states at the Fermi level is 1.43 states/eV/atom. As for the raw total energy: -5.93 eV per atom. The magnetization is 0.0008 μB/atom. The raw formation energy is 1.273 eV per atom.

The space group is P4/mmm (No. 123) and the conventional cell measures 4.5523, 4.5523 and 4.3629 Å, with angles of 90.00, 90.00 and 90.00 degrees. The distinct sites, in fractional coordinates, are Al at (0.0000, 0.0000, 0.0000), Fe at (0.0000, 0.5000, 0.5000), Os at (0.5000, 0.5000, 0.5000) and S at (0.5000, 0.5000, 0.0000).

=====

# AlFeSbOs2

A geometry-optimized AlFeSbOs2 structure (PBE, Alexandria).

Its density of states at the Fermi level is 1.59 states/eV/atom. As for the raw total energy: -5.76 eV per atom. The magnetization is 0.0293 μB/atom. The raw formation energy is 2.001 eV per atom.

The space group is P4/mmm (No. 123) and the conventional cell measures 4.4410, 4.4410 and 4.8807 Å, with angles of 90.00, 90.00 and 90.00 degrees. The distinct sites, in fractional coordinates, are Al at (0.0000, 0.0000, 0.0000), Fe at (0.5000, 0.5000, 0.5000), Sb at (0.0000, 0.0000, 0.5000) and Os at (0.0000, 0.5000, 0.0000).

=====

# ScAlFeOs

A geometry-optimized ScAlFeOs structure (PBE, Alexandria).

Its density of states at the Fermi level is 1.44 states/eV/atom. As for the raw total energy: -7.70 eV per atom. The magnetization is 0.3936 μB/atom. The value obtained for the formation energy from the elements is -0.2541 eV per atom.

The space group is F-43m (No. 216) and the conventional cell measures 6.1685, 6.1685 and 6.1685 Å, with angles of 90.00, 90.00 and 90.00 degrees. The distinct sites, in fractional coordinates, are Sc at (0.0000, 0.0000, 0.0000), Al at (0.0000, 0.0000, 0.5000), Fe at (0.2500, 0.2500, 0.2500) and Os at (0.2500, 0.2500, 0.7500).

=====

# ScAlFe2Os

A geometry-optimized ScAlFe2Os structure (PBE, Alexandria).

Its density of states at the Fermi level is 0.62 states/eV/atom. As for the raw total energy: -5.94 eV per atom. The magnetization is 0.8265 μB/atom. The value obtained for the formation energy from the elements is 1.7078 eV per atom.

The space group is P4/mmm (No. 123) and the conventional cell measures 4.1538, 4.1538 and 4.8279 Å, with angles of 90.00, 90.00 and 90.00 degrees. The distinct sites, in fractional coordinates, are Sc at (0.0000, 0.0000, 0.0000), Al at (0.0000, 0.0000, 0.5000), Fe at (0.0000, 0.5000, 0.0000) and Os at (0.5000, 0.5000, 0.5000).

=====

# AlFeSnOs2

A geometry-optimized AlFeSnOs2 structure (PBE, Alexandria).

Its density of states at the Fermi level is 0.94 states/eV/atom. As for the raw total energy: -5.69 eV per atom. The magnetization is 0.6997 μB/atom. The value obtained for the formation energy from the elements is 2.0453 eV per atom.

The space group is P4/mmm (No. 123) and the conventional cell measures 4.8440, 4.8440 and 4.5964 Å, with angles of 90.00, 90.00 and 90.00 degrees. The distinct sites, in fractional coordinates, are Al at (0.0000, 0.0000, 0.0000), Fe at (0.5000, 0.5000, 0.0000), Sn at (0.5000, 0.5000, 0.5000) and Os at (0.0000, 0.5000, 0.5000).

=====

# AlFeTcOs

A geometry-optimized AlFeTcOs structure (PBE, Alexandria).

Its density of states at the Fermi level is 0.81 states/eV/atom. As for the raw total energy: -8.59 eV per atom. The magnetization is 0.5805 μB/atom. The value obtained for the formation energy from the elements is -0.1386 eV per atom.

The space group is F-43m (No. 216) and the conventional cell measures 6.0005, 6.0005 and 6.0005 Å, with angles of 90.00, 90.00 and 90.00 degrees. The distinct sites, in fractional coordinates, are Al at (0.0000, 0.0000, 0.0000), Fe at (0.0000, 0.0000, 0.5000), Tc at (0.2500, 0.2500, 0.7500) and Os at (0.2500, 0.2500, 0.2500).

=====

# Ti3Al3Fe2Os

A geometry-optimized Ti3Al3Fe2Os structure (PBE, Alexandria).

Its density of states at the Fermi level is 0.44 states/eV/atom. As for the raw total energy: -7.38 eV per atom. The magnetization is 0.0000 μB/atom. The value obtained for the formation energy from the elements is -0.3679 eV per atom.

The space group is P-62m (No. 189) and the conventional cell measures 7.1378, 7.1378 and 2.9679 Å, with angles of 90.00, 90.00 and 120.00 degrees. The distinct sites, in fractional coordinates, are Ti at (0.0000, 0.7037, 0.0000), Al at (0.0000, 0.3752, 0.5000), Fe at (0.3333, 0.6667, 0.0000) and Os at (0.0000, 0.0000, 0.5000).

=====

# Ti5Al2FeOs2

A geometry-optimized Ti5Al2FeOs2 structure (PBE, Alexandria).

Its density of states at the Fermi level is 0.91 states/eV/atom. As for the raw total energy: -8.00 eV per atom. The magnetization is 0.0000 μB/atom. The value obtained for the formation energy from the elements is -0.2103 eV per atom.

The space group is P4/mbm (No. 127) and the conventional cell measures 10.4437, 10.4437 and 3.0228 Å, with angles of 90.00, 90.00 and 90.00 degrees. The distinct sites, in fractional coordinates, are Ti at (0.0000, 0.5000, 0.0000), Ti at (0.0691, 0.1825, 0.0000), Al at (0.1719, 0.6719, 0.5000), Fe at (0.0000, 0.0000, 0.5000) and Os at (0.1386, 0.3614, 0.5000).

=====

# AlFeP2

A geometry-optimized AlFeP2 structure (PBE, Alexandria).

Its density of states at the Fermi level is 0.69 states/eV/atom. As for the raw total energy: -6.14 eV per atom. The magnetization is 0.0001 μB/atom. The value obtained for the formation energy from the elements is -0.3802 eV per atom.

The space group is P-3m1 (No. 164) and the conventional cell measures 3.6385, 3.6385 and 4.8257 Å, with angles of 90.00, 90.00 and 120.00 degrees. The distinct sites, in fractional coordinates, are Al at (0.0000, 0.0000, 0.0000), Fe at (0.0000, 0.0000, 0.5000) and P at (0.3333, 0.6667, 0.6958).